Record 1
Compound: MgInGaRh
Source: Alexandria
Functional: PBE
Structure: relaxed

Its formation energy is -0.94 eV per formula unit. For the magnetization, the calculation gives 0.00 μB/cell. The total energy is -3.91 eV/atom.

Lattice parameters (Å, degrees): 6.5063 6.5063 6.5063 90.00 90.00 90.00
With the nearest neighbours (Å) after each atom.
Space group F-43m (No. 216)
Unique sites:
Mg 0.0000 0.0000 0.0000  4 Ga 2.82, 4 In 2.82
In 0.2500 0.2500 0.7500  4 Mg 2.82, 4 Rh 2.82
Ga 0.2500 0.2500 0.2500  4 Mg 2.82, 4 Rh 2.82
Rh 0.0000 0.0000 0.5000  4 In 2.82, 4 Ga 2.82

Record 2
Compound: MgInGa2S6
Source: Alexandria
Functional: PBE
Structure: relaxed

As for the formation energy without anion corrections: -0.658 eV per atom. For the magnetization, the calculation gives 0.12 μB/cell. The total energy is -4.17 eV/atom.

Lattice parameters (Å, degrees): 11.8472 11.3731 6.5833 90.00 102.06 90.00
With the nearest neighbours (Å) after each atom.
Space group C2/c (No. 15)
Unique sites:
Mg 0.0000 0.2368 0.2500  6 S 2.57-2.62
In 0.0000 0.4008 0.7500  6 S 2.59-2.71
Ga 0.1864 0.0875 0.7989  4 S 2.27-2.32
S 0.1147 0.4131 0.1350  1 Ga 2.30
S 0.1216 0.0787 0.1065  2 Ga 2.31-2.32
S 0.1329 0.2539 0.6118  1 Ga 2.27

Record 3
Compound: MgInGaSb
Source: Alexandria
Functional: PBE
Structure: relaxed

As for the formation energy without anion corrections: -0.006 eV per atom. For the magnetization, the calculation gives 0.00 μB/cell. The total energy is -2.88 eV/atom.

Lattice parameters (Å, degrees): 7.2863 7.2863 7.2863 90.00 90.00 90.00
With the nearest neighbours (Å) after each atom.
Space group F-43m (No. 216)
Unique sites:
Mg 0.0000 0.0000 0.0000  4 In 3.16, 4 Sb 3.16
In 0.2500 0.2500 0.7500  4 Mg 3.16, 4 Ga 3.16
Ga 0.0000 0.0000 0.5000  4 In 3.16, 4 Sb 3.16
Sb 0.2500 0.2500 0.2500  4 Mg 3.16, 4 Ga 3.16

Record 4
Compound: SrMgInGa
Source: Alexandria
Functional: PBE
Structure: relaxed

Its formation energy is -1.07 eV per formula unit. For the magnetization, the calculation gives 0.00 μB/cell. The total energy is -2.53 eV/atom.

Lattice parameters (Å, degrees): 7.4689 7.4689 7.4689 90.00 90.00 90.00
With the nearest neighbours (Å) after each atom.
Space group F-43m (No. 216)
Unique sites:
Sr 0.0000 0.0000 0.0000  4 In 3.23, 4 Ga 3.23
Mg 0.0000 0.0000 0.5000  4 In 3.23, 4 Ga 3.23
In 0.2500 0.2500 0.2500  4 Mg 3.23, 4 Sr 3.23
Ga 0.2500 0.2500 0.7500  4 Mg 3.23, 4 Sr 3.23

Record 5
Compound: SrMg2In4Ga
Source: Alexandria
Functional: PBE
Structure: relaxed

Its formation energy is -1.27 eV per formula unit. For the magnetization, the calculation gives 0.00 μB/cell. The total energy is -2.51 eV/atom.

Lattice parameters (Å, degrees): 5.1722 5.1722 27.3626 90.00 90.00 120.00
With the nearest neighbours (Å) after each atom.
Space group R-3m (No. 166, hexagonal axes)
Unique sites:
Sr 0.0000 0.0000 0.0000  8 In 3.45-3.53, 6 Mg 3.85
Mg 0.0000 0.0000 0.2447  7 In 3.07-3.18
In 0.0000 0.0000 0.1289  3 Ga 3.16, 4 Mg 3.17-3.18, 3 In 3.48, 1 Sr 3.53
In 0.0000 0.0000 0.3966  1 Ga 2.83, 3 Mg 3.07
Ga 0.0000 0.0000 0.5000  8 In 2.83-3.16

Record 6
Compound: Sr2MgIn3Ga4
Source: Alexandria
Functional: PBE
Structure: relaxed

Its formation energy is -3.34 eV per formula unit. For the magnetization, the calculation gives 0.00 μB/cell. The total energy is -2.86 eV/atom.

Lattice parameters (Å, degrees): 4.6111 4.6111 11.9210 90.00 90.00 90.00
With the nearest neighbours (Å) after each atom.
Space group P-4m2 (No. 115)
Unique sites:
Sr 0.0000 0.5000 0.2493  8 Ga 3.53-3.76, 6 In 3.53-3.77, 2 Mg 3.77
Mg 0.0000 0.0000 0.5000  4 Ga 2.83
In 0.0000 0.5000 0.8643  5 Ga 2.70-2.82
In 0.5000 0.5000 0.5000  4 Ga 2.83
Ga 0.0000 0.0000 0.0000  4 In 2.82
Ga 0.0000 0.5000 0.6375  3 In 2.70-2.83, 2 Mg 2.83
Ga 0.5000 0.5000 0.0000  4 In 2.82

Record 7
Compound: SrMgIn2Ga
Source: Alexandria
Functional: PBE
Structure: relaxed

Its formation energy is -1.49 eV per formula unit. For the magnetization, the calculation gives 0.00 μB/cell. The total energy is -2.65 eV/atom.

Lattice parameters (Å, degrees): 4.6422 4.6422 12.4721 90.00 90.00 90.00
With the nearest neighbours (Å) after each atom.
Space group I-4m2 (No. 119)
Unique sites:
Sr 0.0000 0.0000 0.0000  8 In 3.58, 4 Mg 3.89, 4 Ga 3.89
Mg 0.0000 0.5000 0.2500  4 In 2.87
In 0.0000 0.0000 0.3858  1 In 2.85, 2 Mg 2.87, 2 Ga 2.87
Ga 0.0000 0.5000 0.7500  4 In 2.87

Record 8
Compound: TbMgInGa
Source: Alexandria
Functional: PBE
Structure: relaxed

Its formation energy is -1.28 eV per formula unit. For the magnetization, the calculation gives 0.00 μB/cell. The total energy is -3.32 eV/atom.

Lattice parameters (Å, degrees): 7.1834 7.1834 7.1834 90.00 90.00 90.00
With the nearest neighbours (Å) after each atom.
Space group F-43m (No. 216)
Unique sites:
Tb 0.0000 0.0000 0.0000  4 In 3.11, 4 Ga 3.11
Mg 0.0000 0.0000 0.5000  4 In 3.11, 4 Ga 3.11
In 0.2500 0.2500 0.2500  4 Tb 3.11, 4 Mg 3.11
Ga 0.2500 0.2500 0.7500  4 Tb 3.11, 4 Mg 3.11

Number 5 is which compound? SrMg2In4Ga

The highest magnetization belongs to which entry? MgInGa2S6

Number 4 is which compound? SrMgInGa